# 1
## Si2TcBr (GGA-PBE)

Data for a relaxed structure of Si2TcBr.

## Properties
calculated total energy: -5.60 eV per atom
E_form (uncorrected): 125 meV per atom
magnetization: 0.00 μB per formula unit
calculated volume: 207 Å³ per cell

Cell lengths 3.2466, 3.2466, 22.7176 Å; angles 90.00, 90.00, 120.00 degrees
Closest atoms and distances in Å follow each position.
Space group R-3m (No. 166, hexagonal axes)
Unique sites:
Si  0.0000  0.0000  0.2369 (multiplicity 6)  3 Tc 2.46
Tc  0.0000  0.0000  0.5000 (multiplicity 3)  6 Si 2.46
Br  0.0000  0.0000  0.0000 (multiplicity 3)  6 Si 2.88

=====

# 2
## SiTc2Br (GGA-PBE)

Data for a relaxed structure of SiTc2Br.

## Properties
calculated total energy: -6.72 eV per atom
E_form (uncorrected): 239 meV per atom
magnetization: 0.00 μB per formula unit
calculated volume: 69 Å³ per cell

Cell lengths 2.9918, 2.9918, 7.6909 Å; angles 90.00, 90.00, 90.00 degrees
Closest atoms and distances in Å follow each position.
Space group P4mm (No. 99)
Unique sites:
Si  0.0000  0.0000  0.0000 (multiplicity 1)  4 Tc 2.52
Tc  0.0000  0.0000  0.3952 (multiplicity 1)  8 Tc 2.69-2.99, 4 Br 2.78
Tc  0.5000  0.5000  0.1791 (multiplicity 1)  4 Si 2.52, 4 Tc 2.69
Br  0.5000  0.5000  0.6291 (multiplicity 1)  4 Tc 2.78, 4 Br 2.99

=====

# 3
## SiTc2Br (GGA-PBE)

Data for a relaxed structure of SiTc2Br.

## Properties
calculated total energy: -6.55 eV per atom
E_form (uncorrected): 410 meV per atom
magnetization: 0.00 μB per formula unit
calculated volume: 123 Å³ per cell

Cell lengths 10.1964, 3.0321, 4.1303 Å; angles 90.00, 105.07, 90.00 degrees
Closest atoms and distances in Å follow each position.
Space group Cm (No. 8)
Unique sites:
Si  0.0000  0.0000  0.0000 (multiplicity 2)  6 Tc 2.53-2.64
Tc  0.0405  0.5000  0.5394 (multiplicity 2)  1 Br 2.47, 4 Si 2.55-2.64
Tc  0.2942  0.0000  0.8713 (multiplicity 2)  2 Si 2.53, 4 Br 2.54-2.64
Br  0.2540  0.5000  0.3603 (multiplicity 2)  5 Tc 2.47-2.64

=====

# 4
## SiTcBr3 (GGA-PBE)

Data for a relaxed structure of SiTcBr3.

## Properties
calculated total energy: -3.44 eV per atom
E_form (uncorrected): 721 meV per atom
magnetization: 5.17 μB per formula unit
calculated volume: 147 Å³ per cell

Cell lengths 5.2741, 5.2741, 5.2741 Å; angles 90.00, 90.00, 90.00 degrees
Closest atoms and distances in Å follow each position.
Space group Pm-3m (No. 221)
Unique sites:
Si  0.0000  0.0000  0.0000 (multiplicity 1)  6 Br 2.64
Tc  0.5000  0.5000  0.5000 (multiplicity 1)  12 Br 3.73
Br  0.0000  0.0000  0.5000 (multiplicity 3)  2 Si 2.64

=====

# 5
## SiTc2Br (GGA-PBE)

Data for a relaxed structure of SiTc2Br.

## Properties
calculated total energy: -6.36 eV per atom
E_form (uncorrected): 594 meV per atom
magnetization: 0.00 μB per formula unit
calculated volume: 143 Å³ per cell

Cell lengths 2.9727, 4.7801, 10.0819 Å; angles 90.00, 90.00, 90.00 degrees
Closest atoms and distances in Å follow each position.
Space group Cmm2 (No. 35)
Unique sites:
Si  0.0000  0.0000  0.0000 (multiplicity 2)  2 Tc 2.56, 4 Si 2.81
Tc  0.0000  0.0000  0.5845 (multiplicity 2)  6 Tc 2.57-2.81, 2 Br 2.82
Tc  0.0000  0.5000  0.7929 (multiplicity 2)  2 Si 2.56, 6 Tc 2.57-2.81
Br  0.0000  0.5000  0.3469 (multiplicity 2)  6 Br 2.81-2.97, 2 Tc 2.82

=====

# 6
## SiTcBr2 (GGA-PBE)

Data for a relaxed structure of SiTcBr2.

## Properties
calculated total energy: -4.92 eV per atom
E_form (uncorrected): -139 meV per atom
magnetization: 0.00 μB per formula unit
calculated volume: 185 Å³ per cell

Cell lengths 3.3913, 3.0326, 17.9504 Å; angles 90.00, 90.00, 90.00 degrees
Closest atoms and distances in Å follow each position.
Space group Amm2 (No. 38)
Unique sites:
Si  0.0000  0.0000  0.0000 (multiplicity 2)  1 Br 2.31, 4 Tc 2.53
Tc  0.5000  0.0000  0.4380 (multiplicity 2)  2 Br 2.50, 4 Si 2.53
Br  0.0000  0.0000  0.1286 (multiplicity 2)  1 Si 2.31
Br  0.5000  0.0000  0.8270 (multiplicity 2)  2 Tc 2.50

=====

# 7
## SiTcBr2 (GGA-PBE)

Data for a relaxed structure of SiTcBr2.

## Properties
calculated total energy: -4.75 eV per atom
E_form (uncorrected): 35 meV per atom
magnetization: 0.68 μB per formula unit
calculated volume: 94 Å³ per cell

Cell lengths 3.2470, 3.7061, 7.9544 Å; angles 90.00, 101.24, 90.00 degrees
Closest atoms and distances in Å follow each position.
Space group Pm (No. 6)
Unique sites:
Si  0.0000  0.0000  0.0000 (multiplicity 1)  4 Tc 2.48
Tc  0.5182  0.5000  0.0379 (multiplicity 1)  4 Si 2.48, 3 Br 2.52-2.75
Br  0.3642  0.5000  0.7148 (multiplicity 1)  1 Tc 2.52
Br  0.6423  0.0000  0.2980 (multiplicity 1)  2 Tc 2.75, 2 Si 2.84

=====

# 8
## SiTc2Br (GGA-PBE)

Data for a relaxed structure of SiTc2Br.

## Properties
calculated total energy: -6.82 eV per atom
E_form (uncorrected): 132 meV per atom
magnetization: 0.00 μB per formula unit
calculated volume: 69 Å³ per cell

Cell lengths 3.1564, 3.1647, 6.9418 Å; angles 90.00, 90.00, 90.00 degrees
Closest atoms and distances in Å follow each position.
Space group Pmmm (No. 47)
Unique sites:
Si  0.0000  0.0000  0.0000 (multiplicity 1)  8 Tc 2.54
Tc  0.5000  0.5000  0.1742 (multiplicity 2)  1 Tc 2.42, 4 Si 2.54
Br  0.0000  0.5000  0.5000 (multiplicity 1)  4 Tc 2.76

=====

> What is the E_form (uncorrected) in the eighth record?

132 meV per atom